[1]
DFT (PBE) results for CsIn12Hg6 after structural relaxation.

a = 8.736 Å, b = 8.736 Å, c = 8.736 Å
α = 106.30°, β = 106.30°, γ = 106.30°
Sites, in units of the cell vectors:
Cs 0.000 0.000 0.000
In 0.110 0.500 0.890
In 0.110 0.890 0.500
In 0.187 0.424 0.424
In 0.424 0.187 0.424
In 0.424 0.424 0.187
In 0.500 0.110 0.890
In 0.500 0.890 0.110
In 0.576 0.576 0.813
In 0.576 0.813 0.576
In 0.813 0.576 0.576
In 0.890 0.110 0.500
In 0.890 0.500 0.110
Hg 0.244 0.729 0.729
Hg 0.271 0.271 0.756
Hg 0.271 0.756 0.271
Hg 0.729 0.244 0.729
Hg 0.729 0.729 0.244
Hg 0.756 0.271 0.271

## Properties
* E_form: 0.003 eV per atom
* SG: R-3m (166)
* DOS(E_F): 0.59 states/eV/atom
* final energy: -1.867 eV per atom

=====

[2]
DFT (PBE) results for LaV2Si2 after structural relaxation.

a = 7.778 Å, b = 7.778 Å, c = 2.787 Å
α = 90.00°, β = 90.00°, γ = 90.00°
Sites, in units of the cell vectors:
La 0.000 0.000 0.000
La 0.500 0.500 0.000
V 0.141 0.359 0.500
V 0.359 0.859 0.500
V 0.641 0.141 0.500
V 0.859 0.641 0.500
Si 0.140 0.640 0.000
Si 0.360 0.140 0.000
Si 0.640 0.860 0.000
Si 0.860 0.360 0.000

## Properties
* SG: P4/mbm (127)
* relative energy among the computed polymorphs: 0.00 eV/f.u.
* DOS(E_F): 1.09 states/eV/atom
* uncorrected formation energy: -3.78 kcal/mol of atoms
* final energy: -6.966 eV per atom

=====

[3]
DFT (PBE) results for Ni3PtS after structural relaxation.

a = 4.096 Å, b = 4.096 Å, c = 4.096 Å
α = 90.00°, β = 90.00°, γ = 90.00°
Sites, in units of the cell vectors:
Ni 0.000 0.000 0.500
Ni 0.000 0.500 0.000
Ni 0.500 0.000 0.000
Pt 0.500 0.500 0.500
S 0.000 0.000 0.000

## Properties
* SG: Pm-3m (221)
* relative energy among the computed polymorphs: 0.00 eV/f.u.
* DOS(E_F): 1.03 states/eV/atom
* uncorrected formation energy: 2.74 kcal/mol of atoms
* final energy: -5.384 eV per atom

=====

[4]
DFT (PBE) results for LiAcSnTe3 after structural relaxation.

a = 9.427 Å, b = 4.484 Å, c = 9.903 Å
α = 90.00°, β = 102.65°, γ = 90.00°
Sites, in units of the cell vectors:
Li 0.090 0.250 0.092
Li 0.910 0.750 0.908
Ac 0.178 0.250 0.733
Ac 0.822 0.750 0.267
Sn 0.336 0.750 0.347
Sn 0.664 0.250 0.653
Te 0.099 0.250 0.377
Te 0.213 0.750 0.994
Te 0.423 0.750 0.665
Te 0.577 0.250 0.335
Te 0.787 0.250 0.006
Te 0.901 0.750 0.623

## Properties
* SG: P2_1/m (11)
* uncorrected formation energy: -22.75 kcal/mol of atoms
* final energy: -4.228 eV per atom